A plane-wave DFT calculation with PBE with a Hubbard U was carried out for a relaxed Ba2AlW3O7 crystal.

Cell lengths 3.422, 4.152, 13.690 Å; angles 90.00, 90.00, 90.00 degrees
Element x y z (fractional)
O 0.000 0.000 0.860
Ba 0.500 0.500 0.196
Al 0.500 0.500 0.500
W 0.000 0.000 0.000
O 0.000 0.500 0.626
O 0.000 0.000 0.140
O 0.500 0.000 0.676
Ba 0.500 0.500 0.804
O 0.000 0.500 0.000
W 0.000 0.000 0.407
O 0.500 0.000 0.324
O 0.000 0.500 0.374
W 0.000 0.000 0.593

Values from the calculation:
The raw total energy is -6.655 eV/atom. As for the total magnetization: 2.408 μB per cell.